Record 1
A plane-wave DFT calculation with PBE was carried out for a relaxed Ce4BiAu crystal.

Results
* energy relative to the elements: -0.3576 eV/atom

```
6
Lattice="2.987 -2.953 0.000 2.987 2.953 0.000 -0.681 0.000 9.504" Properties=species:S:1:pos:R:3 pbc="T T T"
Ce 0.001 0.000 1.399
Ce 2.339 0.000 6.096
Ce 2.954 0.000 3.408
Ce 5.291 0.000 8.106
Bi 2.987 0.000 0.000
Au -0.341 0.000 4.752
```



Record 2
A plane-wave DFT calculation with PBE was carried out for a relaxed IrRh2Pb crystal.

Results
* energy relative to the elements: 0.3390 eV/atom

```
4
Lattice="2.964 0.000 0.000 0.000 4.697 0.000 0.000 0.000 4.778" Properties=species:S:1:pos:R:3 pbc="T T T"
Ir 0.000 0.000 0.000
Rh 0.000 2.348 2.389
Rh 1.482 2.348 0.000
Pb 1.482 0.000 2.389
```



Record 3
A plane-wave DFT calculation with PBE was carried out for a relaxed Er2ThIn3 crystal.

Results
* energy relative to the elements: -0.3891 eV/atom

```
6
Lattice="3.519 0.000 0.000 0.000 3.519 0.000 0.000 0.000 13.001" Properties=species:S:1:pos:R:3 pbc="T T T"
Er 0.000 0.000 2.097
Er 0.000 0.000 10.904
Th 0.000 0.000 6.501
In 1.760 1.760 0.000
In 1.760 1.760 4.200
In 1.760 1.760 8.802
```



Record 4
A plane-wave DFT calculation with PBE was carried out for a relaxed CsNaAg2Pb crystal.

Results
* energy relative to the elements: 0.0736 eV/atom

```
5
Lattice="5.568 0.000 0.000 0.000 5.568 0.000 0.000 0.000 5.970" Properties=species:S:1:pos:R:3 pbc="T T T"
Cs 0.000 0.000 0.000
Na 2.784 2.784 0.000
Ag 0.000 2.784 2.985
Ag 2.784 0.000 2.985
Pb 2.784 2.784 2.985
```



Record 5
A plane-wave DFT calculation with PBE was carried out for a relaxed Ag2GeMo crystal.

Results
* energy relative to the elements: 0.5339 eV/atom

```
8
Lattice="-1.865 1.865 10.476 1.865 -1.865 10.476 1.865 1.865 -10.476" Properties=species:S:1:pos:R:3 pbc="T T T"
Ag 0.933 -0.932 7.857
Ag 0.933 0.933 2.619
Ag 0.933 2.797 -2.619
Ag 0.932 0.933 13.095
Ge 0.000 0.000 0.000
Ge 0.000 1.865 5.238
Mo 1.865 0.000 5.238
Mo 0.000 0.000 10.476
```



Record 6
A plane-wave DFT calculation with PBE was carried out for a relaxed Ce2GdSn crystal.

Results
* polymorph energy (0 for the lowest one): 194 meV/atom
* energy relative to the elements: -0.2034 eV/atom

```
4
Lattice="0.000 3.869 3.869 3.869 0.000 3.869 3.869 3.869 0.000" Properties=species:S:1:pos:R:3 pbc="T T T"
Ce 1.935 1.935 1.935
Ce 5.804 5.804 5.804
Gd 0.000 0.000 0.000
Sn 3.869 3.869 3.869
```



Record 7
A plane-wave DFT calculation with PBE was carried out for a relaxed CuIN2F crystal.

Results
* polymorph energy (0 for the lowest one): 885 meV/atom
* raw formation energy: 1980.9 meV/atom

```
5
Lattice="3.868 0.000 0.000 0.000 3.868 0.000 0.000 0.000 6.819" Properties=species:S:1:pos:R:3 pbc="T T T"
Cu 0.000 0.000 0.000
I 1.934 1.934 0.000
N 0.000 1.934 3.410
N 1.934 0.000 3.410
F 1.934 1.934 3.410
```



Record 8
A plane-wave DFT calculation with PBE was carried out for a relaxed Li2LaZnHg4 crystal.

Results
* energy relative to the elements: -0.3208 eV/atom

```
8
Lattice="2.341 1.352 9.373 -2.341 1.352 9.373 0.000 -2.703 9.373" Properties=species:S:1:pos:R:3 pbc="T T T"
Li 0.000 0.000 6.469
Li 0.000 0.000 21.649
La 0.000 0.000 0.000
Zn 0.000 0.000 14.059
Hg 0.000 0.000 3.529
Hg 0.000 0.000 11.128
Hg 0.000 0.000 16.991
Hg 0.000 0.000 24.590
```



Record 9
A plane-wave DFT calculation with PBE was carried out for a relaxed AgSnSe3 crystal.

Results
* polymorph energy (0 for the lowest one): 0 meV/atom
* raw formation energy: -171.3 meV/atom

```
20
Lattice="6.059 -6.415 0.000 6.059 6.415 0.000 -0.407 0.000 6.675" Properties=species:S:1:pos:R:3 pbc="T T T"
Ag 5.754 6.054 5.007
Ag 5.957 3.693 1.669
Ag 5.754 -3.693 5.007
Ag 5.957 -6.054 1.669
Sn 2.960 1.295 6.491
Sn 3.164 -1.295 3.154
Sn 8.547 1.295 3.522
Sn 8.751 -1.295 0.184
Se 1.838 0.972 3.988
Se 4.354 3.602 6.020
Se 2.041 -0.972 0.650
Se 7.154 3.602 3.994
Se 4.875 0.928 2.205
Se 4.671 -0.928 5.543
Se 7.040 0.928 1.133
Se 6.836 -0.928 4.470
Se 4.557 -3.602 2.682
Se 9.670 0.972 6.026
Se 7.357 -3.602 0.656
Se 9.874 -0.972 2.688
```



Record 10
A plane-wave DFT calculation with PBE was carried out for a relaxed YAsBr crystal.

Results
* polymorph energy (0 for the lowest one): 464 meV/atom
* raw formation energy: -912.7 meV/atom

```
3
Lattice="-1.928 1.928 5.283 1.928 -1.928 5.283 1.928 1.928 -5.283" Properties=species:S:1:pos:R:3 pbc="T T T"
Y 0.000 0.000 0.000
As 0.000 0.000 6.216
Br 0.000 0.000 3.239
```



Record 11
A plane-wave DFT calculation with PBE was carried out for a relaxed Tb6C2O crystal.

Results
* raw formation energy: -740.1 meV/atom

```
9
Lattice="3.102 1.791 6.019 -3.102 1.791 6.019 0.000 -3.582 6.019" Properties=species:S:1:pos:R:3 pbc="T T T"
Tb -1.044 -1.647 7.468
Tb -1.949 0.081 10.588
Tb -0.904 1.728 7.468
Tb 0.904 -1.728 10.588
Tb 1.949 -0.081 7.468
Tb 1.044 1.647 10.588
C 0.000 0.000 5.914
C 0.000 0.000 12.142
O 0.000 0.000 9.028
```



Record 12
A plane-wave DFT calculation with PBE was carried out for a relaxed RbS2O8 crystal.

Results
* raw formation energy: -1043.7 meV/atom

```
11
Lattice="5.934 -2.742 0.000 5.934 2.742 0.000 -3.322 0.000 6.212" Properties=species:S:1:pos:R:3 pbc="T T T"
Rb 0.000 0.000 0.000
S 0.193 0.000 4.474
S 8.353 0.000 1.738
O 3.159 1.528 1.265
O 0.143 0.000 2.997
O 1.571 0.000 4.977
O 5.387 1.528 4.947
O 3.159 -1.528 1.265
O 6.975 0.000 1.235
O 8.402 0.000 3.215
O 5.387 -1.528 4.947
```



Computed DOS(E_F), in the same sequence as the records: 19.76; 4.75; 5.60; 0.66; 3.41; 12.83; 1.08; 4.10; 0.55; 2.61; 8.19; 11.29 states/eV/f.u..